Entry 1:
# PBE-GGA HfBi, optimized geometry
# Final energy in eV/atom: -6.60
data_HfBi
_chemical_formula_sum 'Hf4 Bi4'
_cell_length_a 9.417
_cell_length_b 9.417
_cell_length_c 9.417
_cell_angle_alpha 91.68
_cell_angle_beta 91.68
_cell_angle_gamma 160.31
_space_group_name_H-M_alt 'P 1'
_space_group_IT_number 1
_space_group_name_Hall 'P 1'
loop_
_atom_site_label
_atom_site_type_symbol
_atom_site_fract_x
_atom_site_fract_y
_atom_site_fract_z
Hf1 Hf 0.161 0.283 0.443
Hf2 Hf 0.283 0.839 0.122
Hf3 Hf 0.717 0.161 0.878
Hf4 Hf 0.839 0.717 0.557
Bi1 Bi 0.056 0.783 0.839
Bi2 Bi 0.217 0.056 0.273
Bi3 Bi 0.783 0.944 0.727
Bi4 Bi 0.944 0.217 0.161

=====

Entry 2:
# PBE-GGA Nd3Sm2PuS6, optimized geometry
# Raw formation energy in eV per atom: -2.00
data_Nd3Sm2PuS6
_chemical_formula_sum 'Nd3 Sm2 Pu1 S6'
_cell_length_a 9.016
_cell_length_b 9.016
_cell_length_c 8.097
_cell_angle_alpha 103.07
_cell_angle_beta 103.07
_cell_angle_gamma 25.71
_space_group_name_H-M_alt 'P 1'
_space_group_IT_number 1
_space_group_name_Hall 'P 1'
loop_
_atom_site_label
_atom_site_type_symbol
_atom_site_fract_x
_atom_site_fract_y
_atom_site_fract_z
Nd1 Nd 0.000 0.000 0.000
Nd2 Nd 0.333 0.333 0.665
Nd3 Nd 0.667 0.667 0.335
Sm1 Sm 0.335 0.335 0.170
Sm2 Sm 0.665 0.665 0.830
Pu1 Pu 0.000 0.000 0.500
S1 S 0.165 0.165 0.586
S2 S 0.169 0.169 0.080
S3 S 0.499 0.499 0.257
S4 S 0.501 0.501 0.743
S5 S 0.831 0.831 0.920
S6 S 0.835 0.835 0.414

=====

Entry 3:
# PBE-GGA NdHoP2, optimized geometry
# Offset from the most stable computed form in eV per atom: 0.151
data_NdHoP2
_chemical_formula_sum 'Nd1 Ho1 P2'
_cell_length_a 7.327
_cell_length_b 7.327
_cell_length_c 7.327
_cell_angle_alpha 31.90
_cell_angle_beta 31.90
_cell_angle_gamma 31.90
_space_group_name_H-M_alt 'P 1'
_space_group_IT_number 1
_space_group_name_Hall 'P 1'
loop_
_atom_site_label
_atom_site_type_symbol
_atom_site_fract_x
_atom_site_fract_y
_atom_site_fract_z
Nd1 Nd 0.000 0.000 0.000
Ho1 Ho 0.171 0.171 0.171
P1 P 0.582 0.582 0.582
P2 P 0.757 0.757 0.757

=====

Entry 4:
# PBE-GGA Sm3YPd, optimized geometry
# Offset from the most stable computed form in eV per atom: 0.000
data_Sm3YPd
_chemical_formula_sum 'Sm6 Y2 Pd2'
_cell_length_a 6.499
_cell_length_b 6.499
_cell_length_c 13.965
_cell_angle_alpha 114.10
_cell_angle_beta 114.10
_cell_angle_gamma 33.71
_space_group_name_H-M_alt 'P 1'
_space_group_IT_number 1
_space_group_name_Hall 'P 1'
loop_
_atom_site_label
_atom_site_type_symbol
_atom_site_fract_x
_atom_site_fract_y
_atom_site_fract_z
Sm1 Sm 0.000 0.000 0.000
Sm2 Sm 0.030 0.030 0.366
Sm3 Sm 0.351 0.351 0.469
Sm4 Sm 0.466 0.466 0.764
Sm5 Sm 0.669 0.669 0.234
Sm6 Sm 0.699 0.699 0.603
Y1 Y 0.233 0.233 0.842
Y2 Y 0.348 0.348 0.129
Pd1 Pd 0.014 0.014 0.625
Pd2 Pd 0.688 0.688 0.979